HfV4As2: optimized geometry, PBE-GGA.

a = 3.3587 Å, b = 8.0165 Å, c = 8.0165 Å
α = 90.00°, β = 90.00°, γ = 90.00°
Fractional coordinates of all 14 atoms:
Hf (0.5000, 0.0000, 0.0000)
Hf (0.0000, 0.5000, 0.5000)
V (0.0000, 0.0783, 0.3359)
V (0.0000, 0.9217, 0.6641)
V (0.5000, 0.1641, 0.5783)
V (0.5000, 0.8359, 0.4217)
V (0.5000, 0.4217, 0.8359)
V (0.5000, 0.5783, 0.1641)
V (0.0000, 0.3359, 0.0783)
V (0.0000, 0.6641, 0.9217)
As (0.0000, 0.1988, 0.8012)
As (0.0000, 0.8012, 0.1988)
As (0.5000, 0.6988, 0.6988)
As (0.5000, 0.3012, 0.3012)

E_form	-0.4352	eV/atom
total energy	-8.396	eV per atom
space-group type	P4_2/mnm (136)